# 1
A relaxed structure of LiPdAu3, computed with PBE.

Cell lengths 8.0977, 6.7701, 6.7701 Å; angles 73.71, 90.00, 90.00 degrees
Sites, in units of the cell vectors:
Au 0.4328 0.9694 0.2946
Li 0.2500 0.3666 0.6334
Au 0.0672 0.7054 0.0306
Au 0.0000 0.6252 0.6252
Pd 0.7500 0.6594 0.8919
Pd 0.7500 0.1081 0.3406
Au 0.5000 0.3748 0.3748
Pd 0.2500 0.8919 0.6594
Au 0.0000 0.3748 0.3748
Au 0.5672 0.2946 0.9694
Au 0.5672 0.0306 0.7054
Au 0.9328 0.0306 0.7054
Li 0.7500 0.9571 0.0429
Au 0.4328 0.7054 0.0306
Li 0.7500 0.6334 0.3666
Li 0.2500 0.0429 0.9571
Au 0.5000 0.6252 0.6252
Pd 0.2500 0.3406 0.1081
Au 0.0672 0.9694 0.2946
Au 0.9328 0.2946 0.9694

The calculation puts the distance to the lowest polymorph of the same formula at 125.3 meV/atom. The total DFT energy (no corrections) comes out at -70.96 eV for the cell shown. Its calculated volume is 89.06 Å³/f.u. The magnetic moment comes out at 0.00 μB per atom.

=====

# 2
A relaxed structure of K2YCuBr6, computed with PBE.

Cell lengths 7.9789, 8.7094, 9.8028 Å; angles 90.00, 89.59, 90.00 degrees
Sites, in units of the cell vectors:
Y 0.0000 0.5000 0.5000
Y 0.5000 0.0000 0.0000
Br 0.3350 0.7229 0.0503
Br 0.1650 0.2229 0.4497
Br 0.2067 0.1634 0.0513
Br 0.6650 0.2771 0.9497
Br 0.3961 0.9684 0.7191
K 0.4771 0.4095 0.2470
Br 0.7933 0.8366 0.9487
Br 0.8350 0.7771 0.5503
K 0.0229 0.9095 0.2530
Br 0.2933 0.6634 0.4487
Br 0.7067 0.3366 0.5513
K 0.9771 0.0905 0.7470
Cu 0.0000 0.5000 0.0000
Br 0.6039 0.0316 0.2809
K 0.5229 0.5905 0.7530
Cu 0.5000 0.0000 0.5000
Br 0.1039 0.4684 0.7809
Br 0.8961 0.5316 0.2191

The calculation puts the distance to the lowest polymorph of the same formula at 0.0 meV/atom. The total DFT energy (no corrections) comes out at -75.22 eV for the cell shown. Its calculated volume is 340.60 Å³/f.u. As for the energy relative to the elements, uncorrected: -1482 meV/atom. The magnetic moment comes out at 0.01 μB per atom.

=====

# 3
A relaxed structure of La3Au2, computed with PBE.

Cell lengths 4.0020, 8.5713, 8.5713 Å; angles 90.00, 90.00, 90.00 degrees
Sites, in units of the cell vectors:
Au 0.0000 0.6288 0.1288
La 0.5000 0.1639 0.6639
La 0.0000 0.5000 0.5000
Au 0.0000 0.8712 0.6288
La 0.5000 0.6639 0.8361
La 0.5000 0.8361 0.3361
Au 0.0000 0.3712 0.8712
La 0.5000 0.3361 0.1639
Au 0.0000 0.1288 0.3712
La 0.0000 0.0000 0.0000

The calculation puts the distance to the lowest polymorph of the same formula at 0.0 meV/atom. The total DFT energy (no corrections) comes out at -49.16 eV for the cell shown. Its calculated volume is 147.01 Å³/f.u. The magnetic moment comes out at 0.00 μB per atom.